[1]
## Y2Ho5Tm5 (PBE)

Data for a relaxed structure of Y2Ho5Tm5.

POSCAR file:
```
Y2Ho5Tm5
1.0
5.921 -2.777 0.000
5.921 2.777 0.000
-3.700 0.000 11.235
Y Ho Tm
2 5 5
Direct
0.046 0.046 0.204 Y
0.954 0.954 0.796 Y
0.287 0.287 0.466 Ho
0.452 0.452 0.298 Ho
0.500 0.500 0.000 Ho
0.548 0.548 0.702 Ho
0.713 0.713 0.534 Ho
0.000 0.000 0.500 Tm
0.214 0.214 0.038 Tm
0.250 0.250 0.751 Tm
0.750 0.750 0.249 Tm
0.786 0.786 0.962 Tm
```

Summary:
energy = -4.775 eV per atom
volume = 369 Å³/f.u.



[2]
## In2PSe (PBE)

Data for a relaxed structure of In2PSe.

POSCAR file:
```
In2PSe
1.0
3.890 0.000 0.000
0.000 1.917 6.695
0.000 -1.917 6.695
In P Se
2 1 1
Direct
0.000 0.000 0.000 In
0.500 0.295 0.295 In
0.500 0.489 0.489 P
0.000 0.736 0.736 Se
```

Summary:
ΔE_f (raw) = -158.8 meV/atom
volume = 100 Å³/f.u.



[3]
## Tl2TcW (PBE)

Data for a relaxed structure of Tl2TcW.

POSCAR file:
```
Tl2TcW
1.0
0.000 3.388 3.388
3.388 0.000 3.388
3.388 3.388 0.000
Tl Tc W
2 1 1
Direct
0.000 0.000 0.000 Tl
0.250 0.250 0.250 Tl
0.500 0.500 0.500 Tc
0.750 0.750 0.750 W
```

Summary:
energy = -5.860 eV per atom
volume = 78 Å³/f.u.